Computed, not measured: a relaxed structure of CrGaF at the PBE+U level of DFT.

* energy above the lowest structure with this stoichiometry: 345 meV per atom
* size of the total moment: 3.2 μB per formula unit
* total energy: -4.73 eV per atom
* space-group type: No. 38

Unit cell a=14.398 b=2.957 c=5.128 alpha=90.00 beta=90.00 gamma=90.00
Element x y z (fractional)
1 Cr 0.000 0.000 0.000
2 Cr 0.000 0.500 0.500
3 Cr 0.500 0.000 0.225
4 Cr 0.500 0.500 0.725
5 Ga 0.337 0.000 0.893
6 Ga 0.337 0.500 0.393
7 Ga 0.663 0.000 0.893
8 Ga 0.663 0.500 0.393
9 F 0.086 0.000 0.333
10 F 0.086 0.500 0.833
11 F 0.914 0.000 0.333
12 F 0.914 0.500 0.833

Computed, not measured: a relaxed structure of Li4V2P3O12 at the PBE+U level of DFT.

* energy above the lowest structure with this stoichiometry: 0 meV per atom
* size of the total moment: 5.0 μB per formula unit
* total energy: -6.95 eV per atom
* space-group type: No. 2

Unit cell a=8.430 b=8.462 c=9.185 alpha=62.77 beta=62.80 gamma=60.67
Element x y z (fractional)
1 Li 0.081 0.341 0.356
2 Li 0.268 0.759 0.921
3 Li 0.272 0.934 0.606
4 Li 0.333 0.734 0.357
5 Li 0.667 0.266 0.643
6 Li 0.728 0.066 0.394
7 Li 0.732 0.241 0.079
8 Li 0.919 0.659 0.644
9 V 0.147 0.150 0.059
10 V 0.350 0.353 0.457
11 V 0.650 0.647 0.543
12 V 0.853 0.850 0.941
13 P 0.037 0.759 0.257
14 P 0.248 0.543 0.748
15 P 0.461 0.050 0.241
16 P 0.539 0.950 0.759
17 P 0.752 0.457 0.252
18 P 0.963 0.241 0.743
19 O 0.003 0.818 0.085
20 O 0.139 0.885 0.234
21 O 0.142 0.740 0.787
22 O 0.151 0.202 0.592
23 O 0.165 0.548 0.299
24 O 0.176 0.394 0.904
25 O 0.200 0.572 0.591
26 O 0.259 0.161 0.217
27 O 0.386 0.991 0.924
28 O 0.449 0.864 0.394
29 O 0.463 0.491 0.706
30 O 0.485 0.828 0.715
31 O 0.515 0.172 0.285
32 O 0.537 0.509 0.294
33 O 0.551 0.136 0.606
34 O 0.614 0.009 0.076
35 O 0.741 0.839 0.783
36 O 0.800 0.428 0.409
37 O 0.824 0.606 0.096
38 O 0.835 0.452 0.701
39 O 0.849 0.798 0.408
40 O 0.858 0.260 0.213
41 O 0.861 0.115 0.766
42 O 0.997 0.182 0.915